<a>
CaOsOF2: optimized geometry, PBE.

Computed properties:
Space-group type: P4/mmm, No. 123

Lattice parameters (Å, degrees): 4.1733 4.1733 4.7064 90.00 90.00 90.00
Atoms (fractional coordinates):
F 0.0000 0.5000 0.0000
F 0.5000 0.0000 0.0000
Ca 0.0000 0.0000 0.0000
O 0.0000 0.0000 0.5000
Os 0.5000 0.5000 0.5000

---

<b>
CaOsOF2: optimized geometry, PBE.

Computed properties:
Space-group type: P4/mmm, No. 123

Lattice parameters (Å, degrees): 4.5389 4.5389 3.7772 90.00 90.00 90.00
Atoms (fractional coordinates):
Ca 0.5000 0.5000 0.5000
O 0.0000 0.0000 0.5000
Os 0.0000 0.0000 0.0000
F 0.5000 0.0000 0.0000
F 0.0000 0.5000 0.0000

---

How do the energies compare? Relative to the most stable structure, in kJ/mol of atoms: <a> 53.7; <b> 0.0.

---

<a>
CaP2OF: optimized geometry, PBE.

Computed properties:
Space-group type: P4/mmm, No. 123

Lattice parameters (Å, degrees): 5.4502 5.4502 4.2380 90.00 90.00 90.00
Atoms (fractional coordinates):
Ca 0.0000 0.0000 0.0000
P 0.0000 0.5000 0.0000
P 0.5000 0.0000 0.0000
F 0.5000 0.5000 0.5000
O 0.0000 0.0000 0.5000

---

<b>
CaP2OF: optimized geometry, PBE.

Computed properties:
Space-group type: P4/mmm, No. 123

Lattice parameters (Å, degrees): 3.9634 3.9634 5.3184 90.00 90.00 90.00
Atoms (fractional coordinates):
F 0.0000 0.0000 0.0000
Ca 0.5000 0.5000 0.5000
P 0.0000 0.5000 0.0000
P 0.5000 0.0000 0.0000
O 0.0000 0.0000 0.5000

---

How do the energies compare? Relative to the most stable structure, in kJ/mol of atoms: <a> 79.5; <b> 0.0.

---

<a>
CaReOF2: optimized geometry, PBE.

Computed properties:
Space-group type: P4/mmm, No. 123

Lattice parameters (Å, degrees): 4.4639 4.4639 3.8171 90.00 90.00 90.00
Atoms (fractional coordinates):
F 0.5000 0.0000 0.0000
F 0.0000 0.5000 0.0000
Ca 0.5000 0.5000 0.5000
O 0.0000 0.0000 0.5000
Re 0.0000 0.0000 0.0000

---

<b>
CaReOF2: optimized geometry, PBE.

Computed properties:
Space-group type: P4/mmm, No. 123

Lattice parameters (Å, degrees): 4.1855 4.1855 4.7319 90.00 90.00 90.00
Atoms (fractional coordinates):
Re 0.5000 0.5000 0.5000
O 0.0000 0.0000 0.5000
Ca 0.0000 0.0000 0.0000
F 0.0000 0.5000 0.0000
F 0.5000 0.0000 0.0000

---

How do the energies compare? Relative to the most stable structure, in kJ/mol of atoms: <a> 0.0; <b> 42.5.

---

<a>
CaRuOF2: optimized geometry, PBE.

Computed properties:
Space-group type: P4/mmm, No. 123

Lattice parameters (Å, degrees): 4.1976 4.1976 4.6355 90.00 90.00 90.00
Atoms (fractional coordinates):
O 0.0000 0.0000 0.5000
F 0.5000 0.0000 0.0000
F 0.0000 0.5000 0.0000
Ca 0.0000 0.0000 0.0000
Ru 0.5000 0.5000 0.5000

---

<b>
CaRuOF2: optimized geometry, PBE.

Computed properties:
Space-group type: P4/mmm, No. 123

Lattice parameters (Å, degrees): 4.3940 4.3940 3.8361 90.00 90.00 90.00
Atoms (fractional coordinates):
O 0.0000 0.0000 0.5000
F 0.0000 0.5000 0.0000
F 0.5000 0.0000 0.0000
Ca 0.5000 0.5000 0.5000
Ru 0.0000 0.0000 0.0000

---

How do the energies compare? Relative to the most stable structure, in kJ/mol of atoms: <a> 39.5; <b> 0.0.

---

<a>
CaSOF2: optimized geometry, PBE.

Computed properties:
Space-group type: P4/mmm, No. 123

Lattice parameters (Å, degrees): 4.3016 4.3016 4.8341 90.00 90.00 90.00
Atoms (fractional coordinates):
F 0.0000 0.5000 0.0000
F 0.5000 0.0000 0.0000
Ca 0.0000 0.0000 0.0000
O 0.0000 0.0000 0.5000
S 0.5000 0.5000 0.5000

---

<b>
CaSOF2: optimized geometry, PBE.

Computed properties:
Space-group type: P4/mmm, No. 123

Lattice parameters (Å, degrees): 4.6040 4.6040 3.6050 90.00 90.00 90.00
Atoms (fractional coordinates):
F 0.0000 0.5000 0.0000
F 0.5000 0.0000 0.0000
Ca 0.5000 0.5000 0.5000
O 0.0000 0.0000 0.5000
S 0.0000 0.0000 0.0000

---

How do the energies compare? Relative to the most stable structure, in kJ/mol of atoms: <a> 17.2; <b> 0.0.

---

<a>
CaSiOF2: optimized geometry, PBE.

Computed properties:
Space-group type: P4/mmm, No. 123

Lattice parameters (Å, degrees): 4.3865 4.3865 3.7178 90.00 90.00 90.00
Atoms (fractional coordinates):
Ca 0.5000 0.5000 0.5000
F 0.5000 0.0000 0.0000
F 0.0000 0.5000 0.0000
Si 0.0000 0.0000 0.0000
O 0.0000 0.0000 0.5000

---

<b>
CaSiOF2: optimized geometry, PBE.

Computed properties:
Space-group type: P4/mmm, No. 123

Lattice parameters (Å, degrees): 4.1956 4.1956 4.6486 90.00 90.00 90.00
Atoms (fractional coordinates):
Si 0.5000 0.5000 0.5000
O 0.0000 0.0000 0.5000
Ca 0.0000 0.0000 0.0000
F 0.0000 0.5000 0.0000
F 0.5000 0.0000 0.0000

---

How do the energies compare? Relative to the most stable structure, in kJ/mol of atoms: <a> 0.0; <b> 32.2.

---

<a>
CaSnOF2: optimized geometry, PBE.

Computed properties:
Space-group type: P4/mmm, No. 123

Lattice parameters (Å, degrees): 4.5556 4.5556 4.4569 90.00 90.00 90.00
Atoms (fractional coordinates):
F 0.5000 0.0000 0.0000
F 0.0000 0.5000 0.0000
O 0.0000 0.0000 0.5000
Sn 0.0000 0.0000 0.0000
Ca 0.5000 0.5000 0.5000

---

<b>
CaSnOF2: optimized geometry, PBE.

Computed properties:
Space-group type: P4/mmm, No. 123

Lattice parameters (Å, degrees): 4.2531 4.2531 4.6696 90.00 90.00 90.00
Atoms (fractional coordinates):
F 0.5000 0.0000 0.0000
F 0.0000 0.5000 0.0000
Ca 0.0000 0.0000 0.0000
O 0.0000 0.0000 0.5000
Sn 0.5000 0.5000 0.5000

---

How do the energies compare? Relative to the most stable structure, in kJ/mol of atoms: <a> 30.8; <b> 0.0.

---

<a>
SrCaOF2: optimized geometry, PBE.

Computed properties:
Space-group type: P4/mmm, No. 123

Lattice parameters (Å, degrees): 4.2936 4.2936 4.5778 90.00 90.00 90.00
Atoms (fractional coordinates):
F 0.5000 0.0000 0.0000
F 0.0000 0.5000 0.0000
O 0.0000 0.0000 0.5000
Ca 0.0000 0.0000 0.0000
Sr 0.5000 0.5000 0.5000

---

<b>
SrCaOF2: optimized geometry, PBE.

Computed properties:
Space-group type: P4/mmm, No. 123

Lattice parameters (Å, degrees): 4.5118 4.5118 4.8832 90.00 90.00 90.00
Atoms (fractional coordinates):
F 0.0000 0.5000 0.0000
F 0.5000 0.0000 0.0000
Ca 0.5000 0.5000 0.5000
Sr 0.0000 0.0000 0.0000
O 0.0000 0.0000 0.5000

---

How do the energies compare? Relative to the most stable structure, in kJ/mol of atoms: <a> 0.0; <b> 43.5.

---

<a>
Ca3Ta4O12F2: optimized geometry, PBE.

Computed properties:
Space-group type: R-3m, No. 166

Lattice parameters (Å, degrees): 7.3945 7.3945 7.3945 60.89 60.89 60.89
Atoms (fractional coordinates):
O 0.3144 0.3144 0.9443
O 0.6856 0.0557 0.6856
O 0.9288 0.9288 0.3183
O 0.0712 0.6817 0.0712
O 0.0712 0.0712 0.6817
O 0.9288 0.3183 0.9288
O 0.9443 0.3144 0.3144
O 0.3183 0.9288 0.9288
O 0.3144 0.9443 0.3144
O 0.6856 0.6856 0.0557
O 0.6817 0.0712 0.0712
O 0.0557 0.6856 0.6856
Ta 0.5000 0.0000 0.0000
Ta 0.0000 0.0000 0.0000
Ta 0.0000 0.5000 0.0000
Ta 0.0000 0.0000 0.5000
Ca 0.5000 0.5000 0.0000
Ca 0.0000 0.5000 0.5000
Ca 0.5000 0.0000 0.5000
F 0.3618 0.3618 0.3618
F 0.6382 0.6382 0.6382

---

<b>
Ca3Ta4O12F2: optimized geometry, PBE.

Computed properties:
Space-group type: P4_332, No. 212

Lattice parameters (Å, degrees): 10.5365 10.5365 10.5365 90.00 90.00 90.00
Atoms (fractional coordinates):
O 0.7488 0.9460 0.2463
O 0.9377 0.7424 0.2408
O 0.5076 0.3123 0.0092
O 0.5540 0.7537 0.2488
O 0.0540 0.7463 0.7512
O 0.5012 0.0037 0.3040
O 0.7576 0.7592 0.4377
O 0.4460 0.2537 0.2512
O 0.9924 0.6877 0.5092
O 0.5623 0.2576 0.7408
O 0.7424 0.2408 0.9377
O 0.6877 0.5092 0.9924
O 0.0037 0.3040 0.5012
O 0.9988 0.9963 0.8040
O 0.7512 0.0540 0.7463
O 0.9460 0.2463 0.7488
O 0.1877 0.9908 0.0076
O 0.2592 0.0623 0.2424
O 0.7592 0.4377 0.7576
O 0.4377 0.7576 0.7592
O 0.7463 0.7512 0.0540
O 0.5092 0.9924 0.6877
O 0.8040 0.9988 0.9963
O 0.9963 0.8040 0.9988
O 0.5037 0.1960 0.4988
O 0.9908 0.0076 0.1877
O 0.7537 0.2488 0.5540
O 0.3123 0.0092 0.5076
O 0.0092 0.5076 0.3123
O 0.6960 0.0012 0.4963
O 0.8123 0.4908 0.4924
O 0.0076 0.1877 0.9908
O 0.0012 0.4963 0.6960
O 0.4963 0.6960 0.0012
O 0.4924 0.8123 0.4908
O 0.2512 0.4460 0.2537
O 0.2537 0.2512 0.4460
O 0.2488 0.5540 0.7537
O 0.3040 0.5012 0.0037
O 0.2463 0.7488 0.9460
O 0.2576 0.7408 0.5623
O 0.4988 0.5037 0.1960
O 0.0623 0.2424 0.2592
O 0.7408 0.5623 0.2576
O 0.2408 0.9377 0.7424
O 0.4908 0.4924 0.8123
O 0.2424 0.2592 0.0623
O 0.1960 0.4988 0.5037
Ta 0.6262 0.1250 0.6238
Ta 0.3750 0.8750 0.6250
Ta 0.8738 0.8750 0.1238
Ta 0.3762 0.1262 0.3750
Ta 0.1250 0.6238 0.6262
Ta 0.3750 0.3762 0.1262
Ta 0.6250 0.3750 0.8750
Ta 0.1262 0.3750 0.3762
Ta 0.8762 0.3738 0.6250
Ta 0.1250 0.1250 0.1250
Ta 0.8750 0.6250 0.3750
Ta 0.6238 0.6262 0.1250
Ta 0.3738 0.6250 0.8762
Ta 0.1238 0.8738 0.8750
Ta 0.6250 0.8762 0.3738
Ta 0.8750 0.1238 0.8738
F 0.0115 0.5115 0.9885
F 0.5115 0.9885 0.0115
F 0.2615 0.7385 0.2385
F 0.7615 0.7615 0.7615
F 0.2385 0.2615 0.7385
F 0.9885 0.0115 0.5115
F 0.4885 0.4885 0.4885
F 0.7385 0.2385 0.2615
Ca 0.3622 0.8878 0.1250
Ca 0.6250 0.1378 0.1122
Ca 0.1122 0.6250 0.1378
Ca 0.3878 0.3750 0.6378
Ca 0.3750 0.6378 0.3878
Ca 0.1378 0.1122 0.6250
Ca 0.8878 0.1250 0.3622
Ca 0.6378 0.3878 0.3750
Ca 0.6122 0.8750 0.8622
Ca 0.8750 0.8622 0.6122
Ca 0.1250 0.3622 0.8878
Ca 0.8622 0.6122 0.8750

---

How do the energies compare? Relative to the most stable structure, in kJ/mol of atoms: <a> 1.7; <b> 0.0.

---

<a>
CaTaOF2: optimized geometry, PBE.

Computed properties:
Space-group type: P4/mmm, No. 123

Lattice parameters (Å, degrees): 4.4613 4.4613 3.9976 90.00 90.00 90.00
Atoms (fractional coordinates):
Ca 0.5000 0.5000 0.5000
F 0.5000 0.0000 0.0000
F 0.0000 0.5000 0.0000
Ta 0.0000 0.0000 0.0000
O 0.0000 0.0000 0.5000

---

<b>
CaTaOF2: optimized geometry, PBE.

Computed properties:
Space-group type: P4/mmm, No. 123

Lattice parameters (Å, degrees): 4.1247 4.1247 4.7420 90.00 90.00 90.00
Atoms (fractional coordinates):
O 0.0000 0.0000 0.5000
Ta 0.5000 0.5000 0.5000
F 0.5000 0.0000 0.0000
F 0.0000 0.5000 0.0000
Ca 0.0000 0.0000 0.0000

---

How do the energies compare? Relative to the most stable structure, in kJ/mol of atoms: <a> 0.0; <b> 69.3.

---

<a>
CaTcOF2: optimized geometry, PBE.

Computed properties:
Space-group type: P4/mmm, No. 123

Lattice parameters (Å, degrees): 4.2051 4.2051 4.6389 90.00 90.00 90.00
Atoms (fractional coordinates):
O 0.0000 0.0000 0.5000
Ca 0.0000 0.0000 0.0000
Tc 0.5000 0.5000 0.5000
F 0.0000 0.5000 0.0000
F 0.5000 0.0000 0.0000

---

<b>
CaTcOF2: optimized geometry, PBE.

Computed properties:
Space-group type: P4/mmm, No. 123

Lattice parameters (Å, degrees): 4.4244 4.4244 3.8015 90.00 90.00 90.00
Atoms (fractional coordinates):
O 0.0000 0.0000 0.5000
Ca 0.5000 0.5000 0.5000
F 0.0000 0.5000 0.0000
F 0.5000 0.0000 0.0000
Tc 0.0000 0.0000 0.0000

---

How do the energies compare? Relative to the most stable structure, in kJ/mol of atoms: <a> 26.4; <b> 0.0.